No. 1
Material: LiCaPa2N4
Method: DFT, PBE
State: optimized geometry

The value obtained for the mass density is 8.0 g/cm3. For the uncorrected formation energy, the calculation gives -10.8 eV per formula unit. Its density of states at the Fermi level is 2.87 states/eV/f.u. For the magnetic moment, the calculation gives 0.000 μB per formula unit.

Cell: 3.558 6.016 11.442 Å, 90.00 90.00 107.20°
Sites, in units of the cell vectors:
1 N 0.259 0.517 0.397
2 N 0.741 0.483 0.603
3 N 0.741 0.483 0.897
4 N 0.567 0.133 0.250
5 N 0.000 0.000 0.500
6 N 0.259 0.517 0.103
7 N 0.000 0.000 0.000
8 N 0.433 0.867 0.750
9 Pa 0.370 0.740 0.940
10 Pa 0.630 0.260 0.060
11 Pa 0.630 0.260 0.440
12 Pa 0.370 0.740 0.560
13 Ca 0.907 0.814 0.250
14 Ca 0.093 0.186 0.750
15 Li 0.828 0.656 0.750
16 Li 0.172 0.344 0.250

***

No. 2
Material: LiCaPa4N8
Method: DFT, PBE
State: optimized geometry

The value obtained for the mass density is 7.6 g/cm3. For the uncorrected formation energy, the calculation gives -18.2 eV per formula unit. Its density of states at the Fermi level is 9.41 states/eV/f.u. For the magnetic moment, the calculation gives 0.000 μB per formula unit.

Cell: 7.082 7.082 6.798 Å, 58.61 58.61 60.00°
Sites, in units of the cell vectors:
1 N 0.761 0.211 0.267
2 N 0.770 0.770 0.690
3 N 0.224 0.224 0.329
4 N 0.312 0.758 0.619
5 N 0.312 0.312 0.619
6 N 0.761 0.761 0.267
7 N 0.211 0.761 0.267
8 N 0.758 0.312 0.619
9 Li 0.974 0.974 0.077
10 Ca 0.364 0.364 0.907
11 Pa 0.996 0.502 0.506
12 Pa 0.502 0.996 0.506
13 Pa 0.560 0.560 0.321
14 Pa 0.996 0.996 0.506

***

No. 3
Material: LiCaPaN3
Method: DFT, PBE
State: optimized geometry

The value obtained for the mass density is 6.1 g/cm3. For the uncorrected formation energy, the calculation gives -5.7 eV per formula unit. Its density of states at the Fermi level is 3.46 states/eV/f.u. For the magnetic moment, the calculation gives 0.000 μB per formula unit.

Cell: 3.560 7.332 6.858 Å, 103.65 90.00 90.00°
Sites, in units of the cell vectors:
1 Li 0.250 0.073 0.575
2 Li 0.750 0.927 0.425
3 N 0.750 0.441 0.146
4 N 0.250 0.799 0.486
5 N 0.250 0.559 0.854
6 N 0.250 0.141 0.863
7 N 0.750 0.859 0.137
8 N 0.750 0.201 0.514
9 Pa 0.250 0.675 0.178
10 Pa 0.750 0.325 0.822
11 Ca 0.250 0.195 0.225
12 Ca 0.750 0.805 0.775

***

No. 4
Material: Li2Ca2PaN4
Method: DFT, PBE
State: optimized geometry

The value obtained for the mass density is 5.4 g/cm3. For the uncorrected formation energy, the calculation gives -8.0 eV per formula unit. Its density of states at the Fermi level is 4.12 states/eV/f.u. For the magnetic moment, the calculation gives 0.000 μB per formula unit.

Cell: 3.446 6.189 6.297 Å, 113.94 105.88 90.00°
Sites, in units of the cell vectors:
1 N 0.203 0.193 0.407
2 N 0.510 0.756 0.020
3 N 0.797 0.807 0.593
4 N 0.490 0.244 0.980
5 Pa 0.000 0.000 0.000
6 Ca 0.145 0.565 0.291
7 Ca 0.855 0.435 0.709
8 Li 0.315 0.020 0.630
9 Li 0.685 0.980 0.370

***

No. 5
Material: LiCa4Pa3N8
Method: DFT, PBE
State: optimized geometry

The value obtained for the mass density is 6.6 g/cm3. For the uncorrected formation energy, the calculation gives -21.8 eV per formula unit. For the magnetic moment, the calculation gives 0.000 μB per formula unit.

Cell: 7.050 6.981 7.051 Å, 120.33 120.00 90.00°
Sites, in units of the cell vectors:
1 N 0.291 0.285 0.038
2 N 0.253 0.715 0.962
3 N 0.747 0.285 0.038
4 N 0.709 0.715 0.962
5 N 0.742 0.725 0.483
6 N 0.253 0.715 0.507
7 N 0.258 0.275 0.517
8 N 0.747 0.285 0.493
9 Ca 0.000 0.000 0.500
10 Ca 0.500 0.000 0.000
11 Ca 0.000 0.000 0.000
12 Ca 0.500 0.000 0.500
13 Pa 0.500 0.500 0.500
14 Pa 0.000 0.500 0.500
15 Pa 0.500 0.500 0.000
16 Li 0.000 0.500 0.000

***

No. 6
Material: LiCa2PdN
Method: DFT, PBE
State: optimized geometry

The value obtained for the mass density is 3.4 g/cm3. The energy above the most stable polymorph in this dataset is 245 meV/atom. For the uncorrected formation energy, the calculation gives -1.8 eV per formula unit. Its density of states at the Fermi level is 3.74 states/eV/f.u. For the magnetic moment, the calculation gives 0.000 μB per formula unit.

Cell: 4.903 4.903 4.160 Å, 90.00 90.00 90.00°
Sites, in units of the cell vectors:
1 N 0.000 0.000 0.000
2 Li 0.500 0.500 0.500
3 Ca 0.500 0.000 0.000
4 Ca 0.000 0.500 0.000
5 Pd 0.000 0.000 0.500

***

No. 7
Material: Li2CaPdN
Method: DFT, PBE
State: optimized geometry

The value obtained for the mass density is 3.6 g/cm3. For the uncorrected formation energy, the calculation gives -1.4 eV per formula unit. Its density of states at the Fermi level is 3.50 states/eV/f.u. For the magnetic moment, the calculation gives 0.217 μB per formula unit.

Cell: 4.104 4.104 4.763 Å, 90.00 90.00 90.00°
Site moments in Bohr magnetons follow the coordinates.
Sites, in units of the cell vectors:
1 Pd 0.500 0.500 0.500  0.03
2 Li 0.500 0.000 0.000  0.00
3 Li 0.000 0.500 0.000  0.00
4 N 0.000 0.000 0.000  0.11
5 Ca 0.000 0.000 0.500  0.01

***

No. 8
Material: LiCa2PdN
Method: DFT, PBE
State: optimized geometry

The value obtained for the mass density is 3.7 g/cm3. The energy above the most stable polymorph in this dataset is 0 meV/atom. For the uncorrected formation energy, the calculation gives -3.1 eV per formula unit. For the magnetic moment, the calculation gives 0.000 μB per formula unit.

Cell: 4.867 4.867 3.963 Å, 90.00 90.00 90.00°
Sites, in units of the cell vectors:
1 Ca 0.000 0.500 0.000
2 Ca 0.500 0.000 0.000
3 Pd 0.500 0.500 0.500
4 N 0.000 0.000 0.000
5 Li 0.000 0.000 0.500

***

What did the seventh record say?
Material: Li2CaPdN
Method: DFT, PBE
State: optimized geometry

The value obtained for the mass density is 3.6 g/cm3. For the uncorrected formation energy, the calculation gives -1.4 eV per formula unit. Its density of states at the Fermi level is 3.50 states/eV/f.u. For the magnetic moment, the calculation gives 0.217 μB per formula unit.

Cell: 4.104 4.104 4.763 Å, 90.00 90.00 90.00°
Site moments in Bohr magnetons follow the coordinates.
Sites, in units of the cell vectors:
1 Pd 0.500 0.500 0.500  0.03
2 Li 0.500 0.000 0.000  0.00
3 Li 0.000 0.500 0.000  0.00
4 N 0.000 0.000 0.000  0.11
5 Ca 0.000 0.000 0.500  0.01